A plane-wave DFT calculation with PBEsol was carried out for an optimized crystal structure of NaRuC2.

a = 4.8699 Å, b = 4.8699 Å, c = 6.6099 Å
α = 111.62°, β = 111.62°, γ = 90.00°
Closest atoms and distances in Å follow each position.
Fractional coordinates of all 8 atoms:
1 C 0.6250 0.8750 0.7500  2 Ru 1.86
2 C 0.1250 0.8750 0.7500  2 Ru 1.86
3 C 0.1250 0.8750 0.2500  2 Ru 1.86
4 C 0.1250 0.3750 0.2500  2 Ru 1.86
5 Na 0.7500 0.2500 0.5000  8 C 3.07
6 Na 0.5000 0.5000 0.0000  8 C 3.07
7 Ru 0.2500 0.7500 0.5000  4 C 1.86
8 Ru 0.0000 0.0000 0.0000  4 C 1.86

calculated formation energy	0.86	eV per atom
total magnetization	0.00	μB per cell
density of states at the Fermi level	0.197	states/eV/atom
ρ	3.68	Mg/m³
SG	I4_1/amd, No. 141